# 1
Computed, not measured: an optimized crystal structure of SrReRu2 at the PBE-GGA level of DFT.

Lattice parameters (Å, degrees): 2.923 4.344 6.295 90.00 100.44 90.00
Space group Pm (No. 6)
Unique sites:
Sr1 0.000 0.000 0.000 [1 per cell]
Re1 0.759 0.500 0.388 [1 per cell]
Ru1 0.362 0.500 0.726 [1 per cell]
Ru2 0.408 0.000 0.478 [1 per cell]

The calculation puts the density of states at the Fermi level at 5.00 states/eV/cell. The relative energy among the computed polymorphs comes out at 257 meV per atom.

=====

# 2
Computed, not measured: an optimized crystal structure of PmHo6In2 at the PBE-GGA level of DFT.

Lattice parameters (Å, degrees): 12.678 3.739 11.929 90.00 107.82 90.00
Space group C2/m (No. 12)
Unique sites:
Pm1 0.000 0.000 0.000 [2 per cell]
Ho1 0.013 0.000 0.345 [4 per cell]
Ho2 0.186 0.500 0.875 [4 per cell]
Ho3 0.190 0.500 0.583 [4 per cell]
In1 0.144 0.500 0.214 [4 per cell]

The calculation puts the density of states at the Fermi level at 23.87 states/eV/cell. The relative energy among the computed polymorphs comes out at 0 meV per atom.

=====

# 3
Computed, not measured: an optimized crystal structure of Dy3HoSe4 at the PBE-GGA level of DFT.

Lattice parameters (Å, degrees): 7.080 8.052 7.078 90.00 109.23 90.00
Space group P2/c (No. 13)
Unique sites:
Dy1 0.000 0.125 0.250 [2 per cell]
Dy2 0.000 0.375 0.750 [2 per cell]
Dy3 0.500 0.125 0.750 [2 per cell]
Ho1 0.500 0.375 0.250 [2 per cell]
Se1 0.251 0.126 0.001 [4 per cell]
Se2 0.251 0.376 0.500 [4 per cell]

The calculation puts the density of states at the Fermi level at 7.02 states/eV/cell. The raw formation energy comes out at -168.2 kJ/mol of atoms. The relative energy among the computed polymorphs comes out at 0 meV per atom.

=====

# 4
Computed, not measured: an optimized crystal structure of CePaGe2 at the PBE-GGA level of DFT.

Lattice parameters (Å, degrees): 3.326 3.326 8.091 90.00 90.00 90.00
Space group P4/mmm (No. 123)
Unique sites:
Ce1 0.000 0.000 0.000 [1 per cell]
Pa1 0.000 0.000 0.500 [1 per cell]
Ge1 0.500 0.500 0.255 [2 per cell]

The calculation puts the density of states at the Fermi level at 8.24 states/eV/cell. The relative energy among the computed polymorphs comes out at 70 meV per atom.

=====

> The lowest density of states at the Fermi level belongs to which entry?

SrReRu2